First-principles (PBE) data for a relaxed structure of CoH3S, as listed in Alexandria.

```
5
Lattice="3.386 0.000 0.000 0.000 3.386 0.000 0.000 0.000 3.386" Properties=species:S:1:pos:R:3 pbc="T T T"
Co 0.000 0.000 0.000
H 0.000 1.693 1.693
H 1.693 0.000 1.693
H 1.693 1.693 0.000
S 1.693 1.693 1.693
```

Output
Crystal system: cubic
Size of the total moment: 1.575 μB/cell
Energy above the lowest structure with this stoichiometry: 1.826 eV per formula unit
Mass density: 4.0 g/cm3
Space group: No. 221